# Cs2Al2Hg (PBE, optimized geometry)
# - Formation enthalpy at 0 K: 360.9 meV/atom
# - Energy above the lowest structure with this stoichiometry: 174.8 meV per atom
# - Calculated total energy: -1.54 eV per atom
data_Cs2Al2Hg
_chemical_formula_sum 'Cs4 Al4 Hg2'
_cell_length_a 11.063
_cell_length_b 11.063
_cell_length_c 3.844
_cell_angle_alpha 90.00
_cell_angle_beta 90.00
_cell_angle_gamma 90.00
_symmetry_space_group_name_H-M 'P 4/m b m'
_symmetry_Int_Tables_number 127
_symmetry_space_group_name_Hall '-P 4 2ab'
loop_
_atom_site_label
_atom_site_type_symbol
_atom_site_fract_x
_atom_site_fract_y
_atom_site_fract_z
Cs1 Cs 0.204 0.296 0.000
Al1 Al 0.080 0.580 0.500
Hg1 Hg 0.000 0.000 0.500